1.
{"formula": "BeReCl2", "functional": "PBE", "state": "relaxed", "lattice_angstrom": [[-1.744, 1.744, 5.420], [1.744, -1.744, 5.420], [1.744, 1.744, -5.420]], "species": ["Be", "Re", "Cl", "Cl"], "frac_coords": [[0.000, 0.000, 0.000], [0.750, 0.250, 0.500], [0.250, 0.750, 0.500], [0.500, 0.500, 0.000]], "e_above_lowest_polymorph_mev_per_atom": 1290, "formation_energy_uncorrected_ev_per_atom": 1.189}

***

2.
{"formula": "Tm8RuPt2", "functional": "PBE", "state": "relaxed", "lattice_angstrom": [[8.481, -2.469, 0.000], [8.481, 2.469, 0.000], [-2.005, 0.000, 6.421]], "species": ["Tm", "Tm", "Tm", "Tm", "Tm", "Tm", "Tm", "Tm", "Ru", "Pt", "Pt"], "frac_coords": [[0.031, 0.031, 0.293], [0.201, 0.201, 0.807], [0.335, 0.335, 0.536], [0.406, 0.406, 0.056], [0.594, 0.594, 0.944], [0.665, 0.665, 0.464], [0.799, 0.799, 0.193], [0.969, 0.969, 0.707], [0.500, 0.500, 0.500], [0.186, 0.186, 0.205], [0.814, 0.814, 0.795]], "e_above_lowest_polymorph_mev_per_atom": 0, "formation_enthalpy_0k_ev_per_atom": -0.630}

***

3.
{"formula": "AgAsSe2", "functional": "PBE", "state": "relaxed", "lattice_angstrom": [[1.983, 1.145, 7.905], [-1.983, 1.145, 7.905], [0.000, -2.290, 7.905]], "species": ["Ag", "As", "Se", "Se"], "frac_coords": [[0.000, 0.000, 0.000], [0.500, 0.500, 0.500], [0.105, 0.105, 0.105], [0.895, 0.895, 0.895]], "formation_energy_uncorrected_ev_per_atom": -0.013}

***

Repeat the second record exactly.
{"formula": "Tm8RuPt2", "functional": "PBE", "state": "relaxed", "lattice_angstrom": [[8.481, -2.469, 0.000], [8.481, 2.469, 0.000], [-2.005, 0.000, 6.421]], "species": ["Tm", "Tm", "Tm", "Tm", "Tm", "Tm", "Tm", "Tm", "Ru", "Pt", "Pt"], "frac_coords": [[0.031, 0.031, 0.293], [0.201, 0.201, 0.807], [0.335, 0.335, 0.536], [0.406, 0.406, 0.056], [0.594, 0.594, 0.944], [0.665, 0.665, 0.464], [0.799, 0.799, 0.193], [0.969, 0.969, 0.707], [0.500, 0.500, 0.500], [0.186, 0.186, 0.205], [0.814, 0.814, 0.795]], "e_above_lowest_polymorph_mev_per_atom": 0, "formation_enthalpy_0k_ev_per_atom": -0.630}

***

Number 1 is which compound?
BeReCl2

***

Repeat the first record exactly.
{"formula": "BeReCl2", "functional": "PBE", "state": "relaxed", "lattice_angstrom": [[-1.744, 1.744, 5.420], [1.744, -1.744, 5.420], [1.744, 1.744, -5.420]], "species": ["Be", "Re", "Cl", "Cl"], "frac_coords": [[0.000, 0.000, 0.000], [0.750, 0.250, 0.500], [0.250, 0.750, 0.500], [0.500, 0.500, 0.000]], "e_above_lowest_polymorph_mev_per_atom": 1290, "formation_energy_uncorrected_ev_per_atom": 1.189}

***

Repeat the first record exactly.
{"formula": "BeReCl2", "functional": "PBE", "state": "relaxed", "lattice_angstrom": [[-1.744, 1.744, 5.420], [1.744, -1.744, 5.420], [1.744, 1.744, -5.420]], "species": ["Be", "Re", "Cl", "Cl"], "frac_coords": [[0.000, 0.000, 0.000], [0.750, 0.250, 0.500], [0.250, 0.750, 0.500], [0.500, 0.500, 0.000]], "e_above_lowest_polymorph_mev_per_atom": 1290, "formation_energy_uncorrected_ev_per_atom": 1.189}